Entry 1:
A relaxed ErTmAl2Cu4 crystal. Source: OQMD via LeMat-Bulk, functional PBE.

Geometry as extended XYZ:
```
8
Lattice="4.299 0.000 0.000 -2.150 3.723 0.000 0.000 0.000 8.443" Properties=species:S:1:pos:R:3 pbc="T T T"
Er 0.000 0.000 0.000
Tm 0.000 2.482 4.222
Al 2.150 1.241 2.115
Al 2.150 1.241 6.328
Cu 0.000 0.000 2.807
Cu 0.000 0.000 5.636
Cu 0.000 2.482 1.424
Cu 0.000 2.482 7.019
```

Properties
**VASP energy**: -4.307 eV/atom
**Density**: 7.92 g cm⁻³
**SG**: P-6m2

Entry 2:
A relaxed ErTmAl4Cu2 crystal. Source: OQMD via LeMat-Bulk, functional PBE.

Geometry as extended XYZ:
```
8
Lattice="6.767 0.000 0.000 0.000 2.098 4.985 0.000 -2.098 4.985" Properties=species:S:1:pos:R:3 pbc="T T T"
Er 0.000 0.000 0.000
Tm 3.384 0.000 1.450
Al 1.334 0.000 7.083
Al 2.052 0.000 4.336
Al 4.715 0.000 4.336
Al 5.433 0.000 7.083
Cu 0.000 0.000 2.835
Cu 3.384 0.000 8.587
```

Properties
**VASP energy**: -4.375 eV/atom
**Density**: 6.70 g cm⁻³
**SG**: Amm2

Entry 3:
A relaxed ErTm2Al7Cu2 crystal. Source: OQMD via LeMat-Bulk, functional PBE.

Geometry as extended XYZ:
```
12
Lattice="2.724 1.573 8.432 -2.724 1.573 8.432 0.000 -3.145 8.432" Properties=species:S:1:pos:R:3 pbc="T T T"
Er 0.000 0.000 0.000
Tm 0.000 0.000 3.599
Tm 0.000 0.000 21.699
Al -1.387 -0.801 10.434
Al 0.000 -1.602 14.863
Al -1.387 0.801 14.863
Al 0.000 0.000 12.649
Al 1.387 -0.801 10.434
Al 0.000 1.602 10.434
Al 1.387 0.801 14.863
Cu 0.000 0.000 8.480
Cu 0.000 0.000 16.818
```

Properties
**VASP energy**: -4.401 eV/atom
**Density**: 6.29 g cm⁻³
**SG**: R-3m

Entry 4:
A relaxed Y2ErAl7Cu2 crystal. Source: OQMD via LeMat-Bulk, functional PBE.

Geometry as extended XYZ:
```
12
Lattice="2.739 1.581 8.474 -2.739 1.581 8.474 0.000 -3.163 8.474" Properties=species:S:1:pos:R:3 pbc="T T T"
Y 0.000 0.000 3.604
Y 0.000 0.000 21.819
Er 0.000 0.000 0.000
Al -1.393 -0.804 10.469
Al 0.000 -1.609 14.953
Al -1.393 0.804 14.953
Al 0.000 0.000 12.711
Al 1.393 -0.804 10.469
Al 0.000 1.609 10.469
Al 1.393 0.804 14.953
Cu 0.000 0.000 8.523
Cu 0.000 0.000 16.900
```

Properties
**VASP energy**: -4.748 eV/atom
**Density**: 4.98 g cm⁻³
**SG**: R-3m

- What is the formula in the second record?
  ErTmAl4Cu2

- Look up the VASP energy of the second one.
  -4.375 eV/atom